Run 1
VASP calculation (PBE) on a relaxed LuMnRh2 crystal.

Calculated values
V ... 65.9 Å³ per cell
SG ... No. 123

Structure (POSCAR):
```
LuMnRh2
1.0
3.234 0.000 0.000
0.000 3.234 0.000
0.000 0.000 6.300
Lu Mn Rh
1 1 2
Cartesian
0.000 0.000 0.000 Lu
0.000 0.000 3.150 Mn
1.617 1.617 1.695 Rh
1.617 1.617 4.605 Rh
```



Run 2
VASP calculation (PBE) on a relaxed LuMnRh2 crystal.

Calculated values
V ... 65.7 Å³ per cell
SG ... No. 225

Structure (POSCAR):
```
LuMnRh2
1.0
0.000 3.202 3.202
3.202 0.000 3.202
3.202 3.202 0.000
Lu Mn Rh
1 1 2
Cartesian
0.000 0.000 0.000 Lu
3.202 3.202 3.202 Mn
1.601 1.601 1.601 Rh
4.803 4.803 4.803 Rh
```



Which structure above is the least stable? It is run 1.